Compound: Rb2MnNiS4
Source: Alexandria
Functional: PBE
Structure: relaxed

Values from the calculation:
ΔE_f (raw), eV per atom: -0.82
Total magnetization, μB per cell: 2.06
N(E_F), states/eV/cell: 8.44
Symmetry: Fddd (70)

POSCAR file:
```
Rb2MnNiS4
1.0
0.0000 6.8484 11.7730
2.6120 0.0000 11.7730
2.6120 6.8484 0.0000
Rb Mn Ni S
4 2 2 8
Direct
0.0527 0.0527 0.6973
0.3027 0.3027 0.9473
0.6973 0.6973 0.0527
0.9473 0.9473 0.3027
0.3750 0.3750 0.3750
0.6250 0.6250 0.6250
0.1250 0.1250 0.1250
0.8750 0.8750 0.8750
0.0077 0.3465 0.4239
0.2780 0.5761 0.6535
0.3465 0.0077 0.7220
0.4239 0.7220 0.0077
0.5761 0.2780 0.9923
0.6535 0.9923 0.2780
0.7220 0.4239 0.3465
0.9923 0.6535 0.5761
```